Pr12PtAu6: relaxed, PBE-GGA.

Summary:
**E_form**: -474 meV/atom
**SG**: R-3
**Magnetic moment**: 0.00 μB/f.u.
**DOS at the Fermi energy**: 1.2252 states/eV per atom
**Total energy**: -4.846 eV/atom

Cell lengths 8.7289, 8.7289, 8.7289 Å; angles 99.04, 99.04, 99.04 degrees
Fractional coordinates of all 19 atoms:
Pr  0.0453  0.6797  0.9305
Pr  0.0695  0.9547  0.3203
Pr  0.1821  0.4253  0.5776
Pr  0.3203  0.0695  0.9547
Pr  0.4224  0.8179  0.5747
Pr  0.4253  0.5776  0.1821
Pr  0.5747  0.4224  0.8179
Pr  0.5776  0.1821  0.4253
Pr  0.6797  0.9305  0.0453
Pr  0.8179  0.5747  0.4224
Pr  0.9305  0.0453  0.6797
Pr  0.9547  0.3203  0.0695
Pt  0.0000  0.0000  0.0000
Au  0.1326  0.6219  0.3057
Au  0.3057  0.1326  0.6219
Au  0.3781  0.6943  0.8674
Au  0.6219  0.3057  0.1326
Au  0.6943  0.8674  0.3781
Au  0.8674  0.3781  0.6943